Entry 1:
Ni12Sn3As | PBE | optimized geometry

Computed properties:
Its density of states at the Fermi level is 0.43 states/eV per atom. Its space group is P4/mmm (123).

Lattice parameters (Å, degrees): 3.7032 3.7032 14.7511 90.00 90.00 90.00
Fractional coordinates of all 16 atoms:
1 Ni 0.5000 0.5000 0.0000
2 Ni 0.5000 0.5000 0.2435
3 Ni 0.5000 0.5000 0.5000
4 Ni 0.5000 0.5000 0.7565
5 Ni 0.5000 0.0000 0.1156
6 Ni 0.5000 0.0000 0.3723
7 Ni 0.5000 0.0000 0.6277
8 Ni 0.5000 0.0000 0.8844
9 Ni 0.0000 0.5000 0.1156
10 Ni 0.0000 0.5000 0.3723
11 Ni 0.0000 0.5000 0.6277
12 Ni 0.0000 0.5000 0.8844
13 Sn 0.0000 0.0000 0.2459
14 Sn 0.0000 0.0000 0.5000
15 Sn 0.0000 0.0000 0.7541
16 As 0.0000 0.0000 0.0000

Entry 2:
NiSn3As | PBE | optimized geometry

Computed properties:
Its density of states at the Fermi level is 0.41 states/eV per atom. Its space group is Pm-3m (221).

Lattice parameters (Å, degrees): 4.9537 4.9537 4.9537 90.00 90.00 90.00
Fractional coordinates of all 5 atoms:
1 Ni 0.0000 0.0000 0.0000
2 As 0.5000 0.5000 0.5000
3 Sn 0.0000 0.5000 0.0000
4 Sn 0.0000 0.0000 0.5000
5 Sn 0.5000 0.0000 0.0000

Entry 3:
Ni9SnAs2 | PBE | optimized geometry

Computed properties:
Its density of states at the Fermi level is 0.70 states/eV per atom. Its space group is P4/mmm (123).

Lattice parameters (Å, degrees): 3.6478 3.6478 10.8651 90.00 90.00 90.00
Fractional coordinates of all 12 atoms:
1 Ni 0.5000 0.5000 0.0000
2 Ni 0.5000 0.5000 0.3399
3 Ni 0.5000 0.5000 0.6601
4 Ni 0.5000 0.0000 0.1778
5 Ni 0.5000 0.0000 0.5000
6 Ni 0.5000 0.0000 0.8222
7 Ni 0.0000 0.5000 0.1778
8 Ni 0.0000 0.5000 0.5000
9 Ni 0.0000 0.5000 0.8222
10 Sn 0.0000 0.0000 0.0000
11 As 0.0000 0.0000 0.3361
12 As 0.0000 0.0000 0.6639

Entry 4:
NiSnAs2 | PBE | optimized geometry

Computed properties:
Its density of states at the Fermi level is 0.37 states/eV per atom. Its space group is R3m (160).

Lattice parameters (Å, degrees): 3.7980 3.7980 6.8070 73.80 73.80 60.00
Fractional coordinates of all 4 atoms:
1 Ni 0.6624 0.6624 0.0129
2 Sn 0.5076 0.5076 0.4772
3 As 0.0516 0.0516 0.8452
4 As 0.2784 0.2784 0.1647

Entry 5:
Ni6SnAs | PBE | optimized geometry

Computed properties:
Its density of states at the Fermi level is 0.55 states/eV per atom. Its space group is P4/mmm (123).

Lattice parameters (Å, degrees): 3.6700 3.6700 7.2884 90.00 90.00 90.00
Fractional coordinates of all 8 atoms:
1 Ni 0.5000 0.5000 0.0000
2 Ni 0.5000 0.5000 0.5000
3 Ni 0.5000 0.0000 0.2635
4 Ni 0.5000 0.0000 0.7365
5 Ni 0.0000 0.5000 0.2635
6 Ni 0.0000 0.5000 0.7365
7 Sn 0.0000 0.0000 0.0000
8 As 0.0000 0.0000 0.5000

Entry 6:
SrNi4SnAs2 | PBE | optimized geometry

Computed properties:
Its density of states at the Fermi level is 0.82 states/eV per atom. Its space group is P4/mmm (123).

Lattice parameters (Å, degrees): 3.9525 3.9525 9.2576 90.00 90.00 90.00
Fractional coordinates of all 8 atoms:
1 Sr 0.0000 0.0000 0.5000
2 Ni 0.0000 0.5000 0.1816
3 Ni 0.5000 0.0000 0.8184
4 Ni 0.5000 0.0000 0.1816
5 Ni 0.0000 0.5000 0.8184
6 Sn 0.0000 0.0000 0.0000
7 As 0.5000 0.5000 0.3130
8 As 0.5000 0.5000 0.6870

Entry 7:
TbNi7Sn2As2 | PBE | optimized geometry

Computed properties:
Its density of states at the Fermi level is 0.58 states/eV per atom. Its space group is C2/m (12).

Lattice parameters (Å, degrees): 4.0519 4.0519 11.6737 84.51 84.51 87.40
Fractional coordinates of all 12 atoms:
1 Tb 0.0000 0.0000 0.0000
2 Ni 0.5000 0.5000 0.0000
3 Ni 0.3104 0.3104 0.4605
4 Ni 0.6896 0.6896 0.5395
5 Ni 0.9699 0.4570 0.1627
6 Ni 0.4570 0.9699 0.1627
7 Ni 0.5430 0.0301 0.8373
8 Ni 0.0301 0.5430 0.8373
9 Sn 0.9340 0.9340 0.3465
10 Sn 0.0660 0.0660 0.6535
11 As 0.5558 0.5558 0.7349
12 As 0.4442 0.4442 0.2651

Entry 8:
Tc2NiSnAs | PBE | optimized geometry

Computed properties:
Its density of states at the Fermi level is 1.81 states/eV per atom. Its space group is P4/mmm (123).

Lattice parameters (Å, degrees): 4.9034 5.0301 4.9034 90.00 90.00 90.00
Last column: magnetic moment on the atom in μB.
Fractional coordinates of all 5 atoms:
1 Ni 0.5000 0.5000 0.5000  0.76
2 As 0.0000 0.5000 0.0000  -0.02
3 Sn 0.0000 0.0000 0.0000  0.01
4 Tc 0.0000 0.0000 0.5000  0.07
5 Tc 0.5000 0.0000 0.0000  0.01

Entry 9:
Th2Ni4SnAs3 | PBE | optimized geometry

Computed properties:
Its density of states at the Fermi level is 0.64 states/eV per atom. Its space group is P-4m2 (115).

Lattice parameters (Å, degrees): 4.2049 4.2049 9.9820 90.00 90.00 90.00
Fractional coordinates of all 10 atoms:
1 Th 0.5000 0.0000 0.2313
2 Th 0.0000 0.5000 0.7687
3 Ni 0.5000 0.5000 0.0000
4 Ni 0.0000 0.0000 0.0000
5 Ni 0.5000 0.0000 0.6433
6 Ni 0.0000 0.5000 0.3567
7 Sn 0.5000 0.5000 0.5000
8 As 0.0000 0.0000 0.5000
9 As 0.5000 0.0000 0.8768
10 As 0.0000 0.5000 0.1232

Entry 10:
UNi2SnAs2 | PBE | optimized geometry

Computed properties:
Its density of states at the Fermi level is 1.46 states/eV per atom. Its space group is P-3m1 (164).

Lattice parameters (Å, degrees): 3.9741 3.9741 8.1807 90.00 90.00 120.00
Last column: magnetic moment on the atom in μB.
Fractional coordinates of all 6 atoms:
1 U 0.0000 0.0000 0.5000  1.77
2 Ni 0.3333 0.6667 0.2263  -0.04
3 Ni 0.6667 0.3333 0.7737  -0.04
4 Sn 0.0000 0.0000 0.0000  -0.01
5 As 0.3333 0.6667 0.7124  -0.04
6 As 0.6667 0.3333 0.2876  -0.04

Entry 11:
VNi7Sn2As2 | PBE | optimized geometry

Computed properties:
Its density of states at the Fermi level is 0.53 states/eV per atom. Its space group is C2/m (12).

Lattice parameters (Å, degrees): 3.5676 3.5676 14.8409 83.04 83.04 90.00
Fractional coordinates of all 12 atoms:
1 V 0.0000 0.0000 0.0000
2 Ni 0.5000 0.5000 0.0000
3 Ni 0.3082 0.3082 0.3847
4 Ni 0.6918 0.6918 0.6153
5 Ni 0.9389 0.4389 0.1214
6 Ni 0.4389 0.9389 0.1214
7 Ni 0.5611 0.0611 0.8786
8 Ni 0.0611 0.5611 0.8786
9 Sn 0.7876 0.7876 0.4256
10 Sn 0.2124 0.2124 0.5744
11 As 0.6145 0.6145 0.7724
12 As 0.3855 0.3855 0.2276

Entry 12:
ZnNi7Sn2As2 | PBE | optimized geometry

Computed properties:
Its density of states at the Fermi level is 0.79 states/eV per atom. Its space group is C2/m (12).

Lattice parameters (Å, degrees): 3.5849 3.5849 14.8039 83.10 83.10 89.97
Fractional coordinates of all 12 atoms:
1 Zn 0.0000 0.0000 0.0000
2 Ni 0.5000 0.5000 0.0000
3 Ni 0.3082 0.3082 0.3848
4 Ni 0.6918 0.6918 0.6152
5 Ni 0.9382 0.4379 0.1247
6 Ni 0.4379 0.9382 0.1247
7 Ni 0.5621 0.0618 0.8753
8 Ni 0.0618 0.5621 0.8753
9 Sn 0.7876 0.7876 0.4256
10 Sn 0.2124 0.2124 0.5744
11 As 0.6120 0.6120 0.7736
12 As 0.3880 0.3880 0.2264

Here are the calculated raw total energy numbers, same order: -5.558, -4.381, -5.610, -4.852, -5.590, -5.157, -5.290, -4.766, -6.339, -6.388, -5.770, -5.078 (eV per atom).